Here is BeAsP3 after structural relaxation from Alexandria via LeMat-Bulk. Energies are from PBE.

abc: 4.283 4.283 4.283
angles: 90.00 90.00 90.00
Space group Pm-3m (No. 221)
One atom of each set of equivalent atoms:
Be 0.000 0.000 0.000 x1
As 0.500 0.500 0.500 x1
P 0.000 0.000 0.500 x3

Output
ρ (Mg/m³): 3.7
ΔH_f (0 K) (eV per atom): 0.7271
Offset from the most stable computed form (eV/atom): 0.0000